Record 1
RbRh2Au: optimized geometry, PBEsol.

a = 6.610 Å, b = 6.610 Å, c = 6.610 Å
α = 90.00°, β = 90.00°, γ = 90.00°
Space group Fm-3m (No. 225)
Symmetry-distinct sites (fractional):
Rb1 0.000 0.000 0.000 (multiplicity 4)
Rh1 0.250 0.250 0.250 (multiplicity 8)
Au1 0.000 0.000 0.500 (multiplicity 4)

## Properties
- DOS(E_F): 1.84 states/eV per atom
- Formation energy from the elements: 1049 meV/atom
- Uncorrected energy: -4.26 eV per atom



Record 2
BaLi2As2: optimized geometry, PBEsol.

a = 4.508 Å, b = 4.508 Å, c = 10.570 Å
α = 90.00°, β = 90.00°, γ = 90.00°
Space group I4/mmm (No. 139)
Symmetry-distinct sites (fractional):
Ba1 0.000 0.000 0.000 (multiplicity 2)
Li1 0.000 0.500 0.250 (multiplicity 4)
As1 0.000 0.000 0.380 (multiplicity 4)

## Properties
- DOS(E_F): 0.06 states/eV per atom
- Formation energy from the elements: -868 meV/atom
- Uncorrected energy: -4.13 eV per atom